The following is a GGA-PBE calculation of a relaxed structure of Zn3Fe5, from the Alexandria database.

Magnetic moment   11.46 μB per cell
Offset from the most stable computed form   0.576 kcal/mol of atoms
Raw total energy   -45.8 eV for the cell shown

Cell and atoms, written as POSCAR:
```
Zn3Fe5
1.0
2.9073 0.0000 0.0000
0.0000 6.0509 0.0000
0.0000 0.0000 5.6766
Zn Fe
3 5
Cartesian
0.0000 4.5350 0.0358 Zn
1.4536 0.0000 4.1641 Zn
0.0000 1.5159 0.0358 Zn
0.0000 1.5933 2.7899 Fe
1.4536 3.0255 1.4760 Fe
1.4536 3.0255 4.1979 Fe
0.0000 4.4577 2.7899 Fe
1.4536 0.0000 1.5404 Fe
```